No. 1
# AcPmTl2Se4, optimized geometry, DFT PBE-GGA
data_AcPmTl2Se4
_chemical_formula_sum 'Ac1 Pm1 Tl2 Se4'
_cell_length_a 7.690
_cell_length_b 4.435
_cell_length_c 8.143
_cell_angle_alpha 90.00
_cell_angle_beta 108.27
_cell_angle_gamma 90.00
_space_group_name_H-M_alt 'P 1'
_space_group_IT_number 1
loop_
_space_group_symop_operation_xyz
'x,y,z'
loop_
_atom_site_label
_atom_site_fract_x
_atom_site_fract_y
_atom_site_fract_z
Ac1 0.000 0.000 0.000
Pm1 0.500 0.500 0.000
Tl1 0.000 0.500 0.500
Tl2 0.500 0.000 0.500
Se1 0.251 0.500 0.216
Se2 0.274 0.000 0.789
Se3 0.726 0.000 0.211
Se4 0.749 0.500 0.784
# - SG: P2/m
# - Formation energy from raw total energies: -1.404 eV per atom
# - DOS(E_F): 0.0 states/eV/f.u.


No. 2
# Tl2IrOs, optimized geometry, DFT PBE-GGA
data_Tl2IrOs
_chemical_formula_sum 'Tl2 Ir1 Os1'
_cell_length_a 4.805
_cell_length_b 4.805
_cell_length_c 5.369
_cell_angle_alpha 100.91
_cell_angle_beta 100.91
_cell_angle_gamma 37.74
_space_group_name_H-M_alt 'P 1'
_space_group_IT_number 1
loop_
_space_group_symop_operation_xyz
'x,y,z'
loop_
_atom_site_label
_atom_site_fract_x
_atom_site_fract_y
_atom_site_fract_z
Tl1 0.250 0.250 0.249
Tl2 0.750 0.750 0.751
Ir1 0.000 0.000 0.500
Os1 0.500 0.500 0.000
# - Formation energy: 0.934 eV per atom
# - SG: C2/m
# - DOS(E_F): 4.2 states/eV/f.u.


No. 3
# K3FeRe, optimized geometry, DFT PBE-GGA
data_K3FeRe
_chemical_formula_sum 'K3 Fe1 Re1'
_cell_length_a 6.127
_cell_length_b 6.127
_cell_length_c 6.127
_cell_angle_alpha 90.00
_cell_angle_beta 90.00
_cell_angle_gamma 90.00
_space_group_name_H-M_alt 'P 1'
_space_group_IT_number 1
loop_
_space_group_symop_operation_xyz
'x,y,z'
loop_
_atom_site_label
_atom_site_fract_x
_atom_site_fract_y
_atom_site_fract_z
K1 0.000 0.000 0.500
K2 0.000 0.500 0.000
K3 0.500 0.000 0.000
Fe1 0.000 0.000 0.000
Re1 0.500 0.500 0.500
# - Formation energy: 2.012 eV per atom
# - SG: Pm-3m
# - DOS(E_F): 5.3 states/eV/f.u.


No. 4
# LaTiIn2, optimized geometry, DFT PBE-GGA
data_LaTiIn2
_chemical_formula_sum 'La1 Ti1 In2'
_cell_length_a 3.669
_cell_length_b 3.669
_cell_length_c 7.404
_cell_angle_alpha 90.00
_cell_angle_beta 90.00
_cell_angle_gamma 90.00
_space_group_name_H-M_alt 'P 1'
_space_group_IT_number 1
loop_
_space_group_symop_operation_xyz
'x,y,z'
loop_
_atom_site_label
_atom_site_fract_x
_atom_site_fract_y
_atom_site_fract_z
La1 0.000 0.000 0.000
Ti1 0.000 0.000 0.500
In1 0.500 0.500 0.296
In2 0.500 0.500 0.704
# - Formation energy: -0.227 eV per atom
# - SG: P4/mmm
# - DOS(E_F): 4.1 states/eV/f.u.


No. 5
# Cs2Cd5Hg3, optimized geometry, DFT PBE-GGA
data_Cs2Cd5Hg3
_chemical_formula_sum 'Cs2 Cd5 Hg3'
_cell_length_a 5.307
_cell_length_b 5.307
_cell_length_c 12.051
_cell_angle_alpha 90.00
_cell_angle_beta 90.00
_cell_angle_gamma 90.00
_space_group_name_H-M_alt 'P 1'
_space_group_IT_number 1
loop_
_space_group_symop_operation_xyz
'x,y,z'
loop_
_atom_site_label
_atom_site_fract_x
_atom_site_fract_y
_atom_site_fract_z
Cs1 0.000 0.500 0.248
Cs2 0.500 0.000 0.752
Cd1 0.000 0.000 0.500
Cd2 0.000 0.500 0.613
Cd3 0.500 0.000 0.387
Cd4 0.500 0.500 0.000
Cd5 0.500 0.500 0.500
Hg1 0.000 0.000 0.000
Hg2 0.000 0.500 0.863
Hg3 0.500 0.000 0.137
# - Formation energy: -0.111 eV per atom
# - SG: P-4m2
# - DOS(E_F): 4.8 states/eV/f.u.


No. 6
# NaFeP2, optimized geometry, DFT PBE-GGA
data_NaFeP2
_chemical_formula_sum 'Na2 Fe2 P4'
_cell_length_a 6.552
_cell_length_b 6.552
_cell_length_c 6.552
_cell_angle_alpha 125.53
_cell_angle_beta 125.53
_cell_angle_gamma 80.65
_space_group_name_H-M_alt 'P 1'
_space_group_IT_number 1
loop_
_space_group_symop_operation_xyz
'x,y,z'
loop_
_atom_site_label
_atom_site_fract_x
_atom_site_fract_y
_atom_site_fract_z
Na1 0.000 0.000 0.000
Na2 0.750 0.250 0.500
Fe1 0.250 0.750 0.500
Fe2 0.500 0.500 0.000
P1 0.250 0.625 0.125
P2 0.375 0.500 0.625
P3 0.500 0.125 0.875
P4 0.875 0.750 0.375
# - Formation energy: -0.064 eV per atom
# - SG: I-42d
# - DOS(E_F): 2.8 states/eV/f.u.


No. 7
# MnW4Cl, optimized geometry, DFT PBE-GGA
data_MnW4Cl
_chemical_formula_sum 'Mn1 W4 Cl1'
_cell_length_a 5.324
_cell_length_b 5.324
_cell_length_c 5.324
_cell_angle_alpha 60.00
_cell_angle_beta 60.00
_cell_angle_gamma 60.00
_space_group_name_H-M_alt 'P 1'
_space_group_IT_number 1
loop_
_space_group_symop_operation_xyz
'x,y,z'
loop_
_atom_site_label
_atom_site_fract_x
_atom_site_fract_y
_atom_site_fract_z
Mn1 0.000 0.000 0.000
W1 0.127 0.624 0.624
W2 0.624 0.127 0.624
W3 0.624 0.624 0.127
W4 0.624 0.624 0.624
Cl1 0.250 0.250 0.250
# - SG: F-43m
# - Formation energy from raw total energies: 1.128 eV per atom
# - DOS(E_F): 4.0 states/eV/f.u.


No. 8
# Ti4Fe2Os, optimized geometry, DFT PBE-GGA
data_Ti4Fe2Os
_chemical_formula_sum 'Ti4 Fe2 Os1'
_cell_length_a 5.172
_cell_length_b 5.172
_cell_length_c 5.172
_cell_angle_alpha 109.30
_cell_angle_beta 109.30
_cell_angle_gamma 109.81
_space_group_name_H-M_alt 'P 1'
_space_group_IT_number 1
loop_
_space_group_symop_operation_xyz
'x,y,z'
loop_
_atom_site_label
_atom_site_fract_x
_atom_site_fract_y
_atom_site_fract_z
Ti1 0.000 0.000 0.500
Ti2 0.000 0.500 0.000
Ti3 0.500 0.000 0.000
Ti4 0.500 0.500 0.500
Fe1 0.000 0.500 0.500
Fe2 0.500 0.000 0.500
Os1 0.000 0.000 0.000
# - Formation energy: -0.253 eV per atom
# - SG: I4/mmm
# - DOS(E_F): 6.2 states/eV/f.u.


No. 9
# Ce3Ga6Pd20, optimized geometry, DFT PBE-GGA
data_Ce3Ga6Pd20
_chemical_formula_sum 'Ce3 Ga6 Pd20'
_cell_length_a 8.866
_cell_length_b 8.866
_cell_length_c 8.866
_cell_angle_alpha 60.00
_cell_angle_beta 60.00
_cell_angle_gamma 60.00
_space_group_name_H-M_alt 'P 1'
_space_group_IT_number 1
loop_
_space_group_symop_operation_xyz
'x,y,z'
loop_
_atom_site_label
_atom_site_fract_x
_atom_site_fract_y
_atom_site_fract_z
Ce1 0.000 0.000 0.000
Ce2 0.250 0.250 0.250
Ce3 0.750 0.750 0.750
Ga1 0.274 0.274 0.726
Ga2 0.274 0.726 0.274
Ga3 0.274 0.726 0.726
Ga4 0.726 0.274 0.274
Ga5 0.726 0.274 0.726
Ga6 0.726 0.726 0.274
Pd1 0.000 0.000 0.345
Pd2 0.000 0.000 0.655
Pd3 0.000 0.345 0.000
Pd4 0.000 0.345 0.655
Pd5 0.000 0.655 0.000
Pd6 0.000 0.655 0.345
Pd7 0.132 0.623 0.623
Pd8 0.345 0.000 0.000
Pd9 0.345 0.000 0.655
Pd10 0.345 0.655 0.000
Pd11 0.377 0.377 0.377
Pd12 0.377 0.377 0.868
Pd13 0.377 0.868 0.377
Pd14 0.623 0.132 0.623
Pd15 0.623 0.623 0.132
Pd16 0.623 0.623 0.623
Pd17 0.655 0.000 0.000
Pd18 0.655 0.000 0.345
Pd19 0.655 0.345 0.000
Pd20 0.868 0.377 0.377
# - Formation energy: -0.654 eV per atom
# - SG: Fm-3m
# - DOS(E_F): 23.1 states/eV/f.u.


No. 10
# BeCr2Fe, optimized geometry, DFT PBE-GGA
data_BeCr2Fe
_chemical_formula_sum 'Be1 Cr2 Fe1'
_cell_length_a 8.158
_cell_length_b 8.158
_cell_length_c 8.158
_cell_angle_alpha 17.48
_cell_angle_beta 17.48
_cell_angle_gamma 17.48
_space_group_name_H-M_alt 'P 1'
_space_group_IT_number 1
loop_
_space_group_symop_operation_xyz
'x,y,z'
loop_
_atom_site_label
_atom_site_fract_x
_atom_site_fract_y
_atom_site_fract_z
Be1 0.000 0.000 0.000
Cr1 0.250 0.250 0.250
Cr2 0.750 0.750 0.750
Fe1 0.500 0.500 0.500
# - Formation energy: 0.202 eV per atom
# - SG: R-3m
# - DOS(E_F): 3.9 states/eV/f.u.


No. 11
# Na2Mg2Cd15, optimized geometry, DFT PBE-GGA
data_Na2Mg2Cd15
_chemical_formula_sum 'Na2 Mg2 Cd15'
_cell_length_a 7.779
_cell_length_b 7.779
_cell_length_c 7.779
_cell_angle_alpha 82.15
_cell_angle_beta 82.15
_cell_angle_gamma 82.15
_space_group_name_H-M_alt 'P 1'
_space_group_IT_number 1
loop_
_space_group_symop_operation_xyz
'x,y,z'
loop_
_atom_site_label
_atom_site_fract_x
_atom_site_fract_y
_atom_site_fract_z
Na1 0.157 0.157 0.157
Na2 0.843 0.843 0.843
Mg1 0.397 0.397 0.397
Mg2 0.603 0.603 0.603
Cd1 0.000 0.500 0.500
Cd2 0.141 0.141 0.652
Cd3 0.141 0.652 0.141
Cd4 0.205 0.500 0.795
Cd5 0.205 0.795 0.500
Cd6 0.348 0.859 0.859
Cd7 0.500 0.000 0.500
Cd8 0.500 0.205 0.795
Cd9 0.500 0.500 0.000
Cd10 0.500 0.795 0.205
Cd11 0.652 0.141 0.141
Cd12 0.795 0.205 0.500
Cd13 0.795 0.500 0.205
Cd14 0.859 0.348 0.859
Cd15 0.859 0.859 0.348
# - Formation energy: -0.041 eV per atom
# - SG: R-3m
# - DOS(E_F): 6.4 states/eV/f.u.


No. 12
# Ti3GeS, optimized geometry, DFT PBE-GGA
data_Ti3GeS
_chemical_formula_sum 'Ti3 Ge1 S1'
_cell_length_a 4.466
_cell_length_b 4.466
_cell_length_c 4.466
_cell_angle_alpha 90.00
_cell_angle_beta 90.00
_cell_angle_gamma 90.00
_space_group_name_H-M_alt 'P 1'
_space_group_IT_number 1
loop_
_space_group_symop_operation_xyz
'x,y,z'
loop_
_atom_site_label
_atom_site_fract_x
_atom_site_fract_y
_atom_site_fract_z
Ti1 0.000 0.000 0.500
Ti2 0.000 0.500 0.000
Ti3 0.500 0.000 0.000
Ge1 0.500 0.500 0.500
S1 0.000 0.000 0.000
# - SG: Pm-3m
# - Formation energy from raw total energies: -0.346 eV per atom
# - DOS(E_F): 4.4 states/eV/f.u.